Record 1
Material: ZrAlGa4
Method: DFT, PBE
State: relaxed

Cell and atoms, written as POSCAR:
```
ZrAlGa4
1.0
5.188 0.000 0.000
0.000 5.188 0.000
-2.594 -2.594 9.318
Zr Al Ga
2 2 8
direct
0.500 0.500 0.000 Zr
0.250 0.750 0.500 Zr
0.000 0.000 0.000 Al
0.750 0.250 0.500 Al
0.638 0.395 0.275 Ga
0.630 0.888 0.775 Ga
0.145 0.888 0.775 Ga
0.638 0.880 0.275 Ga
0.112 0.370 0.225 Ga
0.605 0.362 0.725 Ga
0.120 0.362 0.725 Ga
0.112 0.855 0.225 Ga
```

Properties
Calculated formation energy: 0.16 eV/atom
Space-group type: I4_1/amd, No. 141
Energy above the lowest structure with this stoichiometry: 391.6 meV/atom
Theoretical density: 5.26 Mg/m³

Record 2
Material: ZrAl6Ga
Method: DFT, PBE
State: relaxed

Cell and atoms, written as POSCAR:
```
ZrAl6Ga
1.0
4.893 0.000 0.000
0.000 5.508 1.299
0.000 1.369 5.491
Zr Al Ga
1 6 1
direct
0.500 0.000 0.000 Zr
0.000 0.722 0.278 Al
0.000 0.278 0.722 Al
0.000 0.775 0.775 Al
0.000 0.225 0.225 Al
0.500 0.500 0.000 Al
0.500 0.000 0.500 Al
0.500 0.500 0.500 Ga
```

Properties
Calculated formation energy: -0.16 eV/atom
Space-group type: Cmmm, No. 65
Theoretical density: 3.85 Mg/m³

Record 3
Material: ZrAl4Ga
Method: DFT, PBE
State: relaxed

Cell and atoms, written as POSCAR:
```
ZrAl4Ga
1.0
5.203 0.000 0.000
0.000 5.203 0.000
-2.602 -2.602 9.497
Zr Al Ga
2 8 2
direct
0.000 0.000 0.000 Zr
0.750 0.250 0.500 Zr
0.610 0.352 0.219 Al
0.617 0.860 0.719 Al
0.102 0.860 0.719 Al
0.610 0.867 0.219 Al
0.140 0.383 0.281 Al
0.648 0.390 0.781 Al
0.133 0.390 0.781 Al
0.140 0.898 0.281 Al
0.500 0.500 0.000 Ga
0.250 0.750 0.500 Ga
```

Properties
Calculated formation energy: 0.31 eV/atom
Space-group type: I4_1/amd, No. 141
Energy above the lowest structure with this stoichiometry: 536.1 meV/atom
Theoretical density: 3.47 Mg/m³